# 1
## TbPrPt2 (PBE-GGA)

Data for a geometry-optimized TbPrPt2 structure.

The space group is P2_1/m (No. 11) and the conventional cell measures 5.677, 4.586 and 7.238 Å, with angles of 90.00, 91.25 and 90.00 degrees. The inequivalent atoms are Tb at (0.139, 0.250, 0.320), Pr at (0.359, 0.250, 0.815), Pt at (0.147, 0.750, 0.050) and Pt at (0.337, 0.750, 0.537).

The formation energy is -1.1872 eV/atom.

***

# 2
## TbPr3Pt8 (PBE-GGA)

Data for a geometry-optimized TbPr3Pt8 structure.

The space group is R3m (No. 160, hexagonal axes) and the conventional cell measures 5.5025, 5.5025 and 26.9672 Å, with angles of 90.00, 90.00 and 120.00 degrees. The inequivalent atoms are Tb at (0.0000, 0.0000, 0.0000), Pr at (0.0000, 0.0000, 0.3741), Pr at (0.0000, 0.0000, 0.4997), Pr at (0.0000, 0.0000, 0.8754), Pt at (0.0000, 0.0000, 0.1872), Pt at (0.0000, 0.0000, 0.6870), Pt at (0.0004, 0.5002, 0.9380) and Pt at (0.1674, 0.3348, 0.7698).

The formation energy is -1.0445 eV/atom.

***

# 3
## PrTcPt (PBE-GGA)

Data for a geometry-optimized PrTcPt structure.

The space group is F-43m (No. 216) and the conventional cell measures 6.607, 6.607 and 6.607 Å, with angles of 90.00, 90.00 and 90.00 degrees. The inequivalent atoms are Pr at (0.000, 0.000, 0.000), Tc at (0.250, 0.250, 0.250) and Pt at (0.250, 0.250, 0.750).

The formation energy is 0.7831 eV/atom.

***

# 4
## PrTcPt (PBE-GGA)

Data for a geometry-optimized PrTcPt structure.

The space group is F-43m (No. 216) and the conventional cell measures 6.638, 6.638 and 6.638 Å, with angles of 90.00, 90.00 and 90.00 degrees. The inequivalent atoms are Pr at (0.000, 0.000, 0.000), Tc at (0.000, 0.000, 0.500) and Pt at (0.250, 0.250, 0.250).

The formation energy is 0.2353 eV/atom.